[1]
## SrIn2Si (PBE-GGA)

Data for crystalline SrIn2Si at its relaxed geometry.

## Properties
spin magnetization: 0.00 μB/f.u.
D(E_F): 1.97 states/eV per cell
energy: -12.84 eV for the cell shown

a = 5.9946 Å, b = 5.9946 Å, c = 5.9946 Å
α = 135.38°, β = 135.38°, γ = 64.94°
Element x y z (fractional)
Sr 0.0000 0.0000 0.0000
In 0.2500 0.7500 0.5000
In 0.7500 0.2500 0.5000
Si 0.5000 0.5000 0.0000

---

[2]
## Tb3B2Rh5 (PBE-GGA)

Data for crystalline Tb3B2Rh5 at its relaxed geometry.

## Properties
spin magnetization: 0.00 μB/f.u.
energy of formation from the pure elements: -0.77 eV/atom
D(E_F): 7.28 states/eV per cell
energy: -143.44 eV for the cell shown

a = 9.8504 Å, b = 9.8504 Å, c = 3.2760 Å
α = 90.00°, β = 90.00°, γ = 90.00°
Element x y z (fractional)
Tb 0.0000 0.0000 0.0000
Tb 0.1741 0.3259 0.0000
Tb 0.3259 0.8259 0.0000
Tb 0.5000 0.5000 0.0000
Tb 0.6741 0.1741 0.0000
Tb 0.8259 0.6741 0.0000
B 0.1209 0.6209 0.0000
B 0.3791 0.1209 0.0000
B 0.6209 0.8791 0.0000
B 0.8791 0.3791 0.0000
Rh 0.0000 0.5000 0.5000
Rh 0.0716 0.7684 0.5000
Rh 0.2316 0.0716 0.5000
Rh 0.2684 0.5717 0.5000
Rh 0.4284 0.2684 0.5000
Rh 0.5000 0.0000 0.5000
Rh 0.5717 0.7316 0.5000
Rh 0.7316 0.4284 0.5000
Rh 0.7684 0.9283 0.5000
Rh 0.9283 0.2316 0.5000

---

[3]
## CeTaSi2Ir5 (PBE-GGA)

Data for crystalline CeTaSi2Ir5 at its relaxed geometry.

## Properties
spin magnetization: 0.50 μB/f.u.
D(E_F): 6.90 states/eV per cell
energy: -77.92 eV for the cell shown

a = 4.0211 Å, b = 4.0211 Å, c = 10.6768 Å
α = 90.00°, β = 90.00°, γ = 90.00°
Element x y z (fractional)
Ce 0.0000 0.0000 0.0000
Ta 0.0000 0.0000 0.5000
Si 0.5000 0.5000 0.2214
Si 0.5000 0.5000 0.7786
Ir 0.0000 0.5000 0.3377
Ir 0.0000 0.5000 0.6623
Ir 0.5000 0.0000 0.3377
Ir 0.5000 0.0000 0.6623
Ir 0.5000 0.5000 0.0000

---

[4]
## La3Cu2Ge4 (PBE-GGA)

Data for crystalline La3Cu2Ge4 at its relaxed geometry.

## Properties
spin magnetization: 0.00 μB/f.u.
energy of formation from the pure elements: -0.74 eV/atom
D(E_F): 3.88 states/eV per cell
energy: -48.13 eV for the cell shown

a = 6.0730 Å, b = 6.0730 Å, c = 8.5169 Å
α = 99.31°, β = 99.31°, γ = 41.24°
Element x y z (fractional)
La 0.0000 0.0000 0.0000
La 0.3386 0.3386 0.3328
La 0.6614 0.6614 0.6672
Cu 0.3901 0.3901 0.7168
Cu 0.6099 0.6099 0.2832
Ge 0.0621 0.0621 0.3867
Ge 0.2859 0.2859 0.9385
Ge 0.7141 0.7141 0.0615
Ge 0.9379 0.9379 0.6133

---

[5]
## CdPt2W (PBE-GGA)

Data for crystalline CdPt2W at its relaxed geometry.

## Properties
spin magnetization: 0.00 μB/f.u.
energy of formation from the pure elements: 0.43 eV/atom
D(E_F): 9.79 states/eV per cell
energy: -48.46 eV for the cell shown

a = 5.8894 Å, b = 5.8894 Å, c = 5.8894 Å
α = 103.33°, β = 103.33°, γ = 122.61°
Element x y z (fractional)
Cd 0.0000 0.0000 0.0000
Cd 0.7500 0.2500 0.5000
Pt 0.1559 0.6250 0.0309
Pt 0.3750 0.4059 0.5309
Pt 0.5941 0.1250 0.9691
Pt 0.8750 0.8441 0.4691
W 0.2500 0.7500 0.5000
W 0.5000 0.5000 0.0000

---

[6]
## Tb2Er5Sb4 (PBE-GGA)

Data for crystalline Tb2Er5Sb4 at its relaxed geometry.

## Properties
spin magnetization: 0.00 μB/f.u.
D(E_F): 11.45 states/eV per cell
energy: -53.24 eV for the cell shown

a = 13.0056 Å, b = 13.0056 Å, c = 7.2546 Å
α = 91.31°, β = 91.31°, γ = 15.99°
Element x y z (fractional)
Tb 0.2360 0.2360 0.2791
Tb 0.7640 0.7640 0.7209
Er 0.0892 0.0892 0.1946
Er 0.1404 0.1404 0.6589
Er 0.5000 0.5000 0.5000
Er 0.8596 0.8596 0.3411
Er 0.9108 0.9108 0.8054
Sb 0.0325 0.0325 0.8166
Sb 0.3289 0.3289 0.0018
Sb 0.6711 0.6711 0.9982
Sb 0.9675 0.9675 0.1834